No. 1
Entry from Alexandria via LeMat-Bulk: an optimized crystal structure of Cs3La2DyO6 (PBE).

Structure (POSCAR):
```
Cs3La2DyO6
1.0
3.209 -5.563 0.000
3.209 5.563 0.000
-2.131 0.000 6.930
Cs La Dy O
3 2 1 6
Cartesian
0.000 0.000 0.000 Cs
3.209 1.839 0.000 Cs
3.209 -1.839 0.000 Cs
2.144 3.708 3.465 La
2.144 -3.708 3.465 La
2.144 0.000 3.465 Dy
1.117 1.776 2.305 O
0.094 0.000 4.631 O
1.117 -1.776 2.305 O
3.172 1.776 4.625 O
4.194 0.000 2.299 O
3.172 -1.776 4.625 O
```

E_tot = -6.485 eV/atom
space-group type = C2/m, No. 12

---

No. 2
Entry from Alexandria via LeMat-Bulk: an optimized crystal structure of Cs2LaDyO4 (PBE).

Structure (POSCAR):
```
Cs2LaDyO4
1.0
-3.743 3.891 5.399
3.743 -3.891 5.399
3.743 3.891 -5.399
Cs La Dy O
4 2 2 8
Cartesian
0.000 0.000 0.000 Cs
-1.871 1.946 2.700 Cs
0.000 3.891 0.000 Cs
1.871 1.946 2.700 Cs
3.743 0.000 0.000 La
0.000 0.000 5.399 La
1.871 1.946 -2.700 Dy
1.871 -1.946 2.700 Dy
3.743 -0.450 2.482 O
3.743 3.441 -2.482 O
2.218 1.946 -0.350 O
5.267 1.946 -0.350 O
-1.524 1.946 5.749 O
1.524 1.946 5.749 O
0.000 0.450 7.881 O
0.000 4.342 2.917 O
```

E_tot = -6.364 eV/atom
space-group type = Imma, No. 74

---

No. 3
Entry from Alexandria via LeMat-Bulk: an optimized crystal structure of CsLaDy4S8 (PBE).

Structure (POSCAR):
```
CsLaDy4S8
1.0
4.147 2.394 7.071
-4.147 2.394 7.071
0.000 -4.789 7.071
Cs La Dy S
1 1 4 8
Cartesian
0.000 0.000 0.000 Cs
0.000 0.000 13.530 La
-2.139 -1.235 9.850 Dy
0.000 0.000 5.478 Dy
2.139 -1.235 9.850 Dy
0.000 2.470 9.850 Dy
0.000 -2.304 11.566 S
-1.995 1.152 11.566 S
0.000 0.000 8.248 S
-1.766 -1.019 15.444 S
0.000 0.000 18.212 S
1.995 1.152 11.566 S
1.766 -1.019 15.444 S
0.000 2.039 15.444 S
```

E_tot = -5.970 eV/atom
space-group type = R3m, No. 160

---

No. 4
Entry from Alexandria via LeMat-Bulk: an optimized crystal structure of Cs4La3DyS8 (PBE).

Structure (POSCAR):
```
Cs4La3DyS8
1.0
4.290 2.477 8.072
-4.290 2.477 8.072
0.000 -4.953 8.072
Cs La Dy S
4 3 1 8
Cartesian
0.000 0.000 0.000 Cs
-2.145 -1.238 8.072 Cs
-2.145 1.238 16.144 Cs
0.000 2.477 8.072 Cs
-4.290 0.000 12.108 La
-2.145 1.238 4.036 La
2.145 1.238 4.036 La
0.000 0.000 12.108 Dy
0.000 0.000 5.552 S
-2.074 -1.197 13.595 S
0.000 -2.395 10.621 S
-2.074 1.197 10.621 S
2.074 -1.197 13.595 S
0.000 2.395 13.595 S
2.074 1.197 10.621 S
0.000 0.000 18.664 S
```

E_tot = -5.357 eV/atom
space-group type = R-3m, No. 166

---

No. 5
Entry from Alexandria via LeMat-Bulk: an optimized crystal structure of Cs2LaDySe4 (PBE).

Structure (POSCAR):
```
Cs2LaDySe4
1.0
7.592 0.000 0.000
0.000 4.382 0.000
-2.522 0.000 8.386
Cs La Dy Se
2 1 1 4
Cartesian
0.000 0.000 0.000 Cs
3.796 2.191 0.000 Cs
-1.261 2.191 4.193 La
2.535 0.000 4.193 Dy
0.088 0.000 5.783 Se
1.345 2.191 2.631 Se
3.725 2.191 5.754 Se
4.981 0.000 2.603 Se
```

E_tot = -4.910 eV/atom
space-group type = P2/m, No. 10

---

No. 6
Entry from Alexandria via LeMat-Bulk: an optimized crystal structure of Cs3LaDy2Se6 (PBE).

Structure (POSCAR):
```
Cs3LaDy2Se6
1.0
3.761 -6.514 0.000
3.761 6.514 0.000
-2.509 0.000 8.383
Cs La Dy Se
3 1 2 6
Cartesian
0.000 0.000 0.000 Cs
3.761 2.146 0.000 Cs
3.761 -2.146 0.000 Cs
2.507 0.000 4.192 La
2.507 4.341 4.192 Dy
2.507 -4.341 4.192 Dy
1.209 2.247 2.621 Se
-0.088 0.000 5.755 Se
1.209 -2.247 2.621 Se
3.804 2.247 5.762 Se
5.101 0.000 2.628 Se
3.804 -2.247 5.762 Se
```

E_tot = -4.885 eV/atom
space-group type = C2/m, No. 12

---

No. 7
Entry from Alexandria via LeMat-Bulk: an optimized crystal structure of Cs4LaDy3Te8 (PBE).

Structure (POSCAR):
```
Cs4LaDy3Te8
1.0
4.610 2.662 8.924
-4.610 2.662 8.924
0.000 -5.323 8.924
Cs La Dy Te
4 1 3 8
Cartesian
0.000 0.000 0.000 Cs
-2.305 -1.331 8.924 Cs
-2.305 1.331 17.847 Cs
0.000 2.662 8.924 Cs
0.000 0.000 13.385 La
-4.610 0.000 13.385 Dy
-2.305 1.331 4.462 Dy
2.305 1.331 4.462 Dy
-2.375 -1.371 15.096 Te
0.000 0.000 6.142 Te
0.000 -2.743 11.675 Te
-2.375 1.371 11.675 Te
2.375 -1.371 15.096 Te
0.000 2.743 15.096 Te
0.000 0.000 20.629 Te
2.375 1.371 11.675 Te
```

E_tot = -4.366 eV/atom
space-group type = R-3m, No. 166

---

No. 8
Entry from Alexandria via LeMat-Bulk: an optimized crystal structure of Cs3LaDy2Te6 (PBE).

Structure (POSCAR):
```
Cs3LaDy2Te6
1.0
4.007 -6.942 0.000
4.007 6.942 0.000
-2.675 0.000 8.921
Cs La Dy Te
3 1 2 6
Cartesian
0.000 0.000 0.000 Cs
4.007 2.277 0.000 Cs
4.007 -2.277 0.000 Cs
2.670 0.000 4.461 La
2.670 4.624 4.461 Dy
2.670 -4.624 4.461 Dy
1.290 2.391 2.749 Te
-0.091 0.000 6.163 Te
1.290 -2.391 2.749 Te
4.050 2.391 6.172 Te
5.431 0.000 2.758 Te
4.050 -2.391 6.172 Te
```

E_tot = -4.383 eV/atom
space-group type = C2/m, No. 12

---

No. 9
Entry from Alexandria via LeMat-Bulk: an optimized crystal structure of CsLiDyS2 (PBE).

Structure (POSCAR):
```
CsLiDyS2
1.0
3.616 -7.510 0.000
3.616 7.510 0.000
0.000 0.000 6.089
Cs Li Dy S
2 2 2 4
Cartesian
3.616 3.755 4.748 Cs
3.616 -3.755 1.341 Cs
0.000 0.000 0.000 Li
3.616 0.000 0.000 Li
1.808 0.000 3.044 Dy
5.424 0.000 3.044 Dy
3.616 6.009 1.798 S
3.616 1.501 1.798 S
3.616 -1.501 4.291 S
3.616 -6.009 4.291 S
```

E_tot = -4.383 eV/atom
space-group type = Cmme, No. 67

---

No. 10
Entry from Alexandria via LeMat-Bulk: an optimized crystal structure of CsLiDy2Se4 (PBE).

Structure (POSCAR):
```
CsLiDy2Se4
1.0
2.123 -7.229 0.000
2.123 7.229 0.000
0.000 0.000 14.761
Cs Li Dy Se
2 2 4 8
Cartesian
2.123 5.690 11.071 Cs
2.123 -5.690 3.690 Cs
2.123 4.724 3.690 Li
2.123 -4.724 11.071 Li
2.123 1.938 8.277 Dy
2.123 1.938 13.865 Dy
2.123 -1.938 0.896 Dy
2.123 -1.938 6.484 Dy
0.000 0.000 0.000 Se
0.000 0.000 7.381 Se
2.123 3.486 1.518 Se
2.123 3.486 5.862 Se
2.123 1.230 11.071 Se
2.123 -1.230 3.690 Se
2.123 -3.486 8.899 Se
2.123 -3.486 13.243 Se
```

E_tot = -4.934 eV/atom
space-group type = Cmcm, No. 63

---

No. 11
Entry from Alexandria via LeMat-Bulk: an optimized crystal structure of CsLiDyTe2 (PBE).

Structure (POSCAR):
```
CsLiDyTe2
1.0
3.388 -8.269 0.000
3.388 8.269 0.000
0.000 0.000 7.030
Cs Li Dy Te
2 2 2 4
Cartesian
3.388 4.135 5.346 Cs
3.388 -4.135 1.684 Cs
0.000 0.000 0.000 Li
3.388 0.000 0.000 Li
1.694 0.000 3.515 Dy
5.081 0.000 3.515 Dy
3.388 6.382 1.850 Te
3.388 1.887 1.850 Te
3.388 -1.887 5.180 Te
3.388 -6.382 5.180 Te
```

E_tot = -3.697 eV/atom
space-group type = Cmme, No. 67

---

No. 12
Entry from Alexandria via LeMat-Bulk: an optimized crystal structure of CsLiDy2Te4 (PBE).

Structure (POSCAR):
```
CsLiDy2Te4
1.0
2.264 -7.717 0.000
2.264 7.717 0.000
0.000 0.000 15.858
Cs Li Dy Te
2 2 4 8
Cartesian
2.264 6.014 11.894 Cs
2.264 -6.014 3.965 Cs
2.264 5.068 3.965 Li
2.264 -5.068 11.894 Li
2.264 2.048 8.918 Dy
2.264 2.048 14.869 Dy
2.264 -2.048 0.989 Dy
2.264 -2.048 6.940 Dy
0.000 0.000 0.000 Te
0.000 0.000 7.929 Te
2.264 3.683 1.637 Te
2.264 3.683 6.292 Te
2.264 1.205 11.894 Te
2.264 -1.205 3.965 Te
2.264 -3.683 9.566 Te
2.264 -3.683 14.221 Te
```

E_tot = -4.382 eV/atom
space-group type = Cmcm, No. 63